[1]
Density functional theory data (PBE-GGA) for a relaxed LiCrPt2 crystal.

Geometry as CIF:
```
data_LiCrPt2
_chemical_formula_sum 'Li3 Cr3 Pt6'
_symmetry_space_group_name_H-M 'R -3 m'
_symmetry_Int_Tables_number 166
_symmetry_space_group_name_Hall '-R 3 2"'
_cell_length_a 2.7388
_cell_length_b 2.7388
_cell_length_c 26.3957
_cell_angle_alpha 90.00
_cell_angle_beta 90.00
_cell_angle_gamma 120.00
loop_
_atom_site_label
_atom_site_type_symbol
_atom_site_fract_x
_atom_site_fract_y
_atom_site_fract_z
_atom_site_occupancy
Li1 Li 0.0000 0.0000 0.0000 1
Cr1 Cr 0.0000 0.0000 0.5000 1
Pt1 Pt 0.0000 0.0000 0.2492 1
```

raw total energy	-6.162	eV/atom
energy of formation from the pure elements	-0.257	eV/atom
Fermi-level density of states	9.6	states/eV per cell

[2]
Density functional theory data (PBE-GGA) for a relaxed AgGe2Pd4 crystal.

Geometry as CIF:
```
data_AgGe2Pd4
_chemical_formula_sum 'Ag2 Ge4 Pd8'
_symmetry_space_group_name_H-M 'P 42/m n m'
_symmetry_Int_Tables_number 136
_symmetry_space_group_name_Hall '-P 4n 2n'
_cell_length_a 7.923
_cell_length_b 7.923
_cell_length_c 3.784
_cell_angle_alpha 90.00
_cell_angle_beta 90.00
_cell_angle_gamma 90.00
loop_
_atom_site_label
_atom_site_type_symbol
_atom_site_fract_x
_atom_site_fract_y
_atom_site_fract_z
_atom_site_occupancy
Ag1 Ag 0.000 0.000 0.000 1
Ge1 Ge 0.245 0.245 0.000 1
Pd1 Pd 0.051 0.313 0.500 1
```

raw total energy	-4.994	eV/atom
energy of formation from the pure elements	-0.301	eV/atom
Fermi-level density of states	6.7	states/eV per cell